--- w ---
# ThAg6

A geometry-optimized ThAg6 structure (PBE, the Alexandria database).

```
ThAg6
1.0
-0.4422 -0.4833 5.6448
8.8178 -1.5440 0.5586
1.8650 11.0460 1.0919
Ag Th
24 4
Direct
0.9917 0.5620 0.8075 Ag
0.7500 0.4369 0.4141 Ag
0.2500 0.8964 0.5184 Ag
0.2500 0.1447 0.1497 Ag
0.4917 0.9380 0.3075 Ag
0.4917 0.4380 0.1925 Ag
0.2500 0.0631 0.9141 Ag
0.2500 0.5631 0.5859 Ag
0.0083 0.4380 0.1925 Ag
0.7500 0.9369 0.0859 Ag
0.0083 0.9380 0.3075 Ag
0.5083 0.5620 0.8075 Ag
0.9917 0.0620 0.6925 Ag
0.2500 0.6447 0.3503 Ag
0.5083 0.0620 0.6925 Ag
0.7500 0.8553 0.8503 Ag
0.2500 0.3964 0.9816 Ag
0.7500 0.3553 0.6497 Ag
0.2500 0.8140 0.7632 Ag
0.7500 0.6860 0.2632 Ag
0.2500 0.3140 0.7368 Ag
0.7500 0.1036 0.4816 Ag
0.7500 0.1860 0.2368 Ag
0.7500 0.6036 0.0184 Ag
0.7500 0.7425 0.5684 Th
0.2500 0.2575 0.4316 Th
0.2500 0.7575 0.0684 Th
0.7500 0.2425 0.9316 Th
```

Space group ... No. 62
Magnetization ... 0.00 μB per cell



--- x ---
# ThAg6

A geometry-optimized ThAg6 structure (PBE, the Alexandria database).

```
ThAg6
1.0
-2.3867 0.6556 5.7919
1.1432 -6.0914 -1.1227
5.3715 3.2599 -0.4388
Ag Th
6 1
Direct
0.2500 0.7500 0.5000 Ag
0.7500 0.5000 0.2500 Ag
0.2500 0.5000 0.7500 Ag
0.7500 0.2500 0.5000 Ag
0.5000 0.7500 0.2500 Ag
0.5000 0.2500 0.7500 Ag
0.0000 0.0000 0.0000 Th
```

Space group ... No. 229
Magnetization ... 0.31 μB per cell



w (0.768 eV/atom below the next structure)